Computed, not measured: a relaxed MgZr2Sc5 crystal at the PBE-GGA level of DFT.

## Properties
ΔH_f (0 K) in eV per formula unit: 0.35
Total DFT energy (no corrections) in eV per atom: -6.250

Cell lengths 3.200, 10.801, 12.480 Å; angles 81.85, 72.83, 67.67 degrees
Fractional coordinates of all 16 atoms:
1 Mg 0.839 0.759 0.753
2 Mg 0.161 0.241 0.247
3 Zr 0.009 0.749 0.496
4 Zr 0.643 0.729 0.021
5 Zr 0.991 0.251 0.504
6 Zr 0.357 0.271 0.979
7 Sc 0.914 0.982 0.888
8 Sc 0.144 0.983 0.613
9 Sc 0.386 0.493 0.384
10 Sc 0.391 0.481 0.127
11 Sc 0.769 0.764 0.260
12 Sc 0.231 0.236 0.740
13 Sc 0.614 0.507 0.616
14 Sc 0.609 0.519 0.873
15 Sc 0.086 0.018 0.112
16 Sc 0.856 0.017 0.387